Density functional theory data (PBE) for a relaxed SrMnS crystal.

Computed properties:
E above lowest polymorph: 266 meV per atom
Uncorrected formation energy: -0.60 eV/atom
VASP energy: -5.595 eV per atom
Magnetic moment: 1.8 μB per formula unit

```
data_SrMnS
_symmetry_space_group_name_H-M 'C 1 2 1'
_symmetry_Int_Tables_number 5
_symmetry_space_group_name_Hall 'C 2y'
_cell_length_a 6.508
_cell_length_b 11.424
_cell_length_c 4.198
_cell_angle_alpha 90.00
_cell_angle_beta 117.77
_cell_angle_gamma 90.00
loop_
_atom_site_label
_atom_site_type_symbol
_atom_site_fract_x
_atom_site_fract_y
_atom_site_fract_z
Sr1 Sr 0.000 0.000 0.000
Sr2 Sr 0.000 0.348 0.000
Mn1 Mn 0.097 0.700 0.272
S1 S 0.000 0.172 0.500
S2 S 0.000 0.537 0.500
```


Density functional theory data (PBE) for a relaxed Nd2SmGe crystal.

Computed properties:
E above lowest polymorph: 0 meV per atom
E_form: -0.43 eV/atom
VASP energy: -5.146 eV per atom
Magnetic moment: 0.0 μB per formula unit

```
data_Nd2SmGe
_symmetry_space_group_name_H-M 'C m c m'
_symmetry_Int_Tables_number 63
_symmetry_space_group_name_Hall '-C 2c 2'
_cell_length_a 4.173
_cell_length_b 12.375
_cell_length_c 9.463
_cell_angle_alpha 90.00
_cell_angle_beta 90.00
_cell_angle_gamma 90.00
loop_
_atom_site_label
_atom_site_type_symbol
_atom_site_fract_x
_atom_site_fract_y
_atom_site_fract_z
Nd1 Nd 0.000 0.145 0.057
Sm1 Sm 0.000 0.431 0.250
Ge1 Ge 0.000 0.244 0.750
```


Density functional theory data (PBE) for a relaxed Sr2NdP3Rh12 crystal.

Computed properties:
E_form: -0.15 eV/atom
VASP energy: -6.403 eV per atom
Magnetic moment: 0.0 μB per formula unit

```
data_Sr2NdP3Rh12
_symmetry_space_group_name_H-M 'R -3 m'
_symmetry_Int_Tables_number 166
_symmetry_space_group_name_Hall '-R 3 2"'
_cell_length_a 9.1115
_cell_length_b 9.1115
_cell_length_c 12.7942
_cell_angle_alpha 90.00
_cell_angle_beta 90.00
_cell_angle_gamma 120.00
loop_
_atom_site_label
_atom_site_type_symbol
_atom_site_fract_x
_atom_site_fract_y
_atom_site_fract_z
Sr1 Sr 0.0000 0.0000 0.1169
Nd1 Nd 0.0000 0.0000 0.5000
P1 P 0.0000 0.5000 0.0000
Rh1 Rh 0.0104 0.5052 0.8264
Rh2 Rh 0.0405 0.5202 0.3818
```


Density functional theory data (PBE) for a relaxed PaH2S3 crystal.

Computed properties:
VASP energy: -5.525 eV per atom
Magnetic moment: 0.6 μB per formula unit

```
data_PaH2S3
_symmetry_space_group_name_H-M 'P m c 21'
_symmetry_Int_Tables_number 26
_symmetry_space_group_name_Hall 'P 2c -2'
_cell_length_a 3.708
_cell_length_b 10.125
_cell_length_c 6.557
_cell_angle_alpha 90.00
_cell_angle_beta 90.00
_cell_angle_gamma 90.00
loop_
_atom_site_label
_atom_site_type_symbol
_atom_site_fract_x
_atom_site_fract_y
_atom_site_fract_z
Pa1 Pa 0.000 0.127 0.000
H1 H 0.000 0.183 0.554
H2 H 0.500 0.316 0.302
S1 S 0.000 0.289 0.681
S2 S 0.500 0.017 0.279
S3 S 0.500 0.328 0.095
```